No. 1
Entry from Alexandria: a geometry-optimized Sr2LiSnRh structure (PBE).

Values from the calculation:
ρ, g cm⁻³: 3.9
Raw total energy, eV per cell: -18.03
Formation energy, eV/atom: -0.28

Cell and atoms, written as POSCAR:
```
Sr2LiSnRh
1.0
5.8120 0.0000 0.0000
0.0000 5.8120 0.0000
0.0000 0.0000 5.1191
Sr Rh Sn Li
2 1 1 1
direct
0.0000 0.5000 0.0000
0.5000 0.0000 0.0000
0.0000 0.0000 0.0000
0.0000 0.0000 0.5000
0.5000 0.5000 0.5000
```


No. 2
Entry from Alexandria: a geometry-optimized Sr2LiSn4Rh3 structure (PBE).

Values from the calculation:
ρ, g cm⁻³: 7.0
Raw total energy, eV per cell: -49.19
Formation energy, eV/atom: -0.58

Cell and atoms, written as POSCAR:
```
Sr2LiSn4Rh3
1.0
-3.5103 0.0862 3.1263
1.9456 -3.6195 2.2843
5.4365 6.6590 5.9208
Sr Li Sn Rh
2 1 4 3
direct
0.5000 0.0000 0.2553
0.0000 0.5000 0.7447
0.5000 0.5000 0.5000
0.5000 0.5000 0.0000
0.0000 0.0000 0.0000
0.5000 0.0000 0.6229
0.0000 0.5000 0.3771
0.0000 0.0000 0.5000
0.5000 0.0000 0.8739
0.0000 0.5000 0.1261
```


No. 3
Entry from Alexandria: a geometry-optimized SrLiSnRh structure (PBE).

Values from the calculation:
ρ, g cm⁻³: 6.2
Raw total energy, eV per cell: -16.39
Formation energy, eV/atom: -0.36

Cell and atoms, written as POSCAR:
```
SrLiSnRh
1.0
4.9176 0.0000 0.0000
2.4588 4.2588 0.0000
2.4588 1.4196 4.0152
Sr Rh Sn Li
1 1 1 1
direct
0.5000 0.5000 0.5000
0.7500 0.7500 0.7500
0.0000 0.0000 0.0000
0.2500 0.2500 0.2500
```


No. 4
Entry from Alexandria: a geometry-optimized SrLiSn2Rh structure (PBE).

Values from the calculation:
ρ, g cm⁻³: 6.1
Raw total energy, eV per cell: -21.52
Formation energy, eV/atom: -0.51

Cell and atoms, written as POSCAR:
```
SrLiSn2Rh
1.0
-1.1085 -3.2787 -3.0611
3.6313 1.1951 -2.5950
1.9237 -2.6213 5.5981
Sr Li Sn Rh
1 1 2 1
direct
0.0000 0.0000 0.0000
0.2500 0.7500 0.5000
0.6320 0.6320 0.2641
0.3680 0.3680 0.7359
0.7500 0.2500 0.5000
```


No. 5
Entry from Alexandria: a geometry-optimized Li2SnTeRh structure (PBE).

Values from the calculation:
ρ, g cm⁻³: 5.0
Raw total energy, eV per cell: -17.29
Formation energy (no corrections), meV per atom: 207

Cell and atoms, written as POSCAR:
```
Li2SnTeRh
1.0
4.9512 0.0000 0.0000
0.0000 4.9016 0.0000
0.0000 0.0000 4.9512
Te Rh Sn Li
1 1 1 2
direct
0.5000 0.5000 0.5000
0.0000 0.5000 0.0000
0.0000 0.0000 0.0000
0.0000 0.0000 0.5000
0.5000 0.0000 0.0000
```


No. 6
Entry from Alexandria: a geometry-optimized LiTh2Sn3Rh4 structure (PBE).

Values from the calculation:
ρ, g cm⁻³: 9.8
Raw total energy, eV per cell: -64.71
Formation energy, eV/atom: -0.65

Cell and atoms, written as POSCAR:
```
LiTh2Sn3Rh4
1.0
4.1433 0.0000 0.0000
0.0000 4.1433 0.0000
0.0000 0.0000 12.2030
Li Th Sn Rh
1 2 3 4
direct
0.5000 0.5000 0.5000
0.5000 0.0000 0.2682
0.0000 0.5000 0.7318
0.0000 0.0000 0.5000
0.5000 0.0000 0.8716
0.0000 0.5000 0.1284
0.5000 0.5000 0.0000
0.0000 0.0000 0.0000
0.5000 0.0000 0.6552
0.0000 0.5000 0.3448
```


No. 7
Entry from Alexandria: a geometry-optimized LiThSn2Rh4 structure (PBE).

Values from the calculation:
ρ, g cm⁻³: 10.3
Raw total energy, eV per cell: -52.05
Formation energy, eV/atom: -0.66

Cell and atoms, written as POSCAR:
```
LiThSn2Rh4
1.0
-2.5374 1.0816 3.5087
1.5480 -0.5996 4.1429
2.8299 7.8113 2.4772
Li Th Sn Rh
1 1 2 4
direct
0.5000 0.5000 0.5000
0.0000 0.0000 0.0000
0.7633 0.7633 0.7100
0.2367 0.2367 0.2900
0.3953 0.3953 0.8140
0.8723 0.8723 0.3832
0.1277 0.1277 0.6168
0.6047 0.6047 0.1860
```


No. 8
Entry from Alexandria: a geometry-optimized LiThSnRh structure (PBE).

Values from the calculation:
ρ, g cm⁻³: 9.5
Raw total energy, eV per cell: -23.50
Formation energy, eV/atom: -0.70

Cell and atoms, written as POSCAR:
```
LiThSnRh
1.0
4.8464 0.0000 0.0000
2.4232 4.1971 0.0000
2.4232 1.3990 3.9571
Rh Sn Th Li
1 1 1 1
direct
0.0000 0.0000 0.0000
0.2500 0.2500 0.2500
0.7500 0.7500 0.7500
0.5000 0.5000 0.5000
```


No. 9
Entry from Alexandria: a geometry-optimized LiTlSnRh structure (PBE).

Values from the calculation:
ρ, g cm⁻³: 9.8
Raw total energy, eV per cell: -16.65
Formation energy, eV/atom: -0.25

Cell and atoms, written as POSCAR:
```
LiTlSnRh
1.0
4.7018 0.0000 0.0000
2.3509 4.0719 0.0000
2.3509 1.3573 3.8390
Tl Rh Sn Li
1 1 1 1
direct
0.7500 0.7500 0.7500
0.0000 0.0000 0.0000
0.2500 0.2500 0.2500
0.5000 0.5000 0.5000
```


No. 10
Entry from Alexandria: a geometry-optimized LiTmSn2Rh4 structure (PBE).

Values from the calculation:
ρ, g cm⁻³: 10.4
Raw total energy, eV per cell: -49.47
Formation energy, eV/atom: -0.71

Cell and atoms, written as POSCAR:
```
LiTmSn2Rh4
1.0
-2.3754 -1.7887 3.4162
2.1401 -2.1360 3.3720
0.4505 5.0960 5.9838
Li Tm Sn Rh
1 1 2 4
direct
0.5000 0.5000 0.5000
0.0000 0.0000 0.0000
0.7544 0.7544 0.7369
0.2456 0.2456 0.2631
0.3785 0.3785 0.8646
0.8744 0.8744 0.3769
0.1256 0.1256 0.6231
0.6215 0.6215 0.1354
```


No. 11
Entry from Alexandria: a geometry-optimized LiY2Sn2Rh5 structure (PBE).

Values from the calculation:
ρ, g cm⁻³: 8.3
Raw total energy, eV per cell: -128.41
Formation energy, eV/atom: -0.46

Cell and atoms, written as POSCAR:
```
LiY2Sn2Rh5
1.0
-3.0432 -0.3031 -1.8767
-4.4596 -4.5697 7.9698
-3.0633 9.0919 3.4989
Li Y Sn Rh
2 4 4 10
direct
0.0000 0.0000 0.0000
0.0000 0.5000 0.5000
0.0000 0.6671 0.1671
0.0000 0.3329 0.8329
0.0000 0.1671 0.3329
0.0000 0.8329 0.6671
0.0000 0.1336 0.6336
0.0000 0.8664 0.3664
0.0000 0.6336 0.8664
0.0000 0.3664 0.1336
0.5000 0.1958 0.0547
0.5000 0.8042 0.9453
0.5000 0.0547 0.8042
0.5000 0.6958 0.4453
0.5000 0.9453 0.1958
0.5000 0.3042 0.5547
0.5000 0.5547 0.6958
0.5000 0.4453 0.3042
0.5000 0.5000 0.0000
0.5000 0.0000 0.5000
```


No. 12
Entry from Alexandria: a geometry-optimized Sr6LiRh structure (PBE).

Values from the calculation:
ρ, g cm⁻³: 2.9
Raw total energy, eV per cell: -19.92
Formation energy, eV/atom: -0.07

Cell and atoms, written as POSCAR:
```
Sr6LiRh
1.0
7.5780 0.2494 0.0000
2.0838 7.6344 0.0000
1.0419 3.8172 6.3551
Sr Li Rh
6 1 1
direct
0.7405 0.4659 0.6624
0.7405 0.1283 0.3376
0.2595 0.8717 0.6624
0.2595 0.5341 0.3376
0.7153 0.7497 0.0000
0.2847 0.2503 0.0000
0.0000 0.0000 0.0000
0.5000 0.5000 0.0000
```


No. 13
Entry from Alexandria: a geometry-optimized Sr4LiRh structure (PBE).

Values from the calculation:
ρ, g cm⁻³: 3.3
Raw total energy, eV per cell: -33.43
Formation energy, eV/atom: -0.12

Cell and atoms, written as POSCAR:
```
Sr4LiRh
1.0
-6.8487 -0.5886 -0.6174
2.1271 2.0775 -8.1575
2.1158 -8.2278 1.7925
Sr Li Rh
8 2 2
direct
0.8805 0.6474 0.8025
0.0489 0.9384 0.2658
0.6195 0.1975 0.3526
0.4511 0.7342 0.0616
0.5489 0.2658 0.9384
0.3805 0.8025 0.6474
0.9511 0.0616 0.7342
0.1195 0.3526 0.1975
0.7500 0.6273 0.3727
0.2500 0.3727 0.6273
0.2500 0.9995 0.0005
0.7500 0.0005 0.9995
```


No. 14
Entry from Alexandria: a geometry-optimized SrLiRh structure (PBE).

Values from the calculation:
ρ, g cm⁻³: 4.8
Raw total energy, eV per cell: -45.65
Formation energy, eV/atom: -0.16

Cell and atoms, written as POSCAR:
```
SrLiRh
1.0
5.7942 0.0000 0.0000
0.0000 6.1852 -0.1374
0.0000 -2.9467 7.6849
Sr Rh Li
4 4 4
direct
0.8828 0.8169 0.1304
0.6172 0.8169 0.6304
0.1172 0.1831 0.8696
0.3828 0.1831 0.3696
0.3978 0.8003 0.9749
0.6022 0.1997 0.0251
0.8978 0.1997 0.5251
0.1022 0.8003 0.4749
0.3831 0.5924 0.1996
0.6169 0.4076 0.8004
0.1169 0.5924 0.6996
0.8831 0.4076 0.3004
```


No. 15
Entry from Alexandria: a geometry-optimized Sr8Li2Rh structure (PBE).

Values from the calculation:
ρ, g cm⁻³: 2.9
Raw total energy, eV per cell: -24.83
Formation energy, eV/atom: -0.02

Cell and atoms, written as POSCAR:
```
Sr8Li2Rh
1.0
6.2003 0.0000 0.0000
0.0000 7.7549 -0.0113
-3.1002 -3.3402 9.6279
Sr Li Rh
8 2 1
direct
0.4136 0.6022 0.8271
0.6396 0.9519 0.2792
0.7931 0.7051 0.5861
0.9812 0.2088 0.9624
0.2069 0.2949 0.4139
0.3604 0.0481 0.7208
0.5864 0.3978 0.1729
0.0188 0.7912 0.0376
0.8184 0.2813 0.6368
0.1816 0.7187 0.3632
0.5000 0.0000 0.0000
```


No. 16
Entry from Alexandria: a geometry-optimized SrLi2Rh2 structure (PBE).

Values from the calculation:
ρ, g cm⁻³: 5.3
Raw total energy, eV per cell: -20.11
Formation energy, eV/atom: 0.02

Cell and atoms, written as POSCAR:
```
SrLi2Rh2
1.0
4.4151 0.0000 0.0000
0.0000 4.4151 0.0000
2.2076 2.2076 4.8947
Sr Rh Li
1 2 2
direct
0.0000 0.0000 0.0000
0.3727 0.3727 0.2546
0.6273 0.6273 0.7454
0.7500 0.2500 0.5000
0.2500 0.7500 0.5000
```


No. 17
Entry from Alexandria: a geometry-optimized Sr2Li2Rh structure (PBE).

Values from the calculation:
ρ, g cm⁻³: 3.7
Raw total energy, eV per cell: -14.88
Formation energy, eV/atom: -0.07

Cell and atoms, written as POSCAR:
```
Sr2Li2Rh
1.0
-0.4327 -3.4055 -3.9686
4.5835 -1.5718 0.8491
0.2891 -5.9764 1.6279
Sr Li Rh
2 2 1
direct
0.6834 0.1834 0.6332
0.3166 0.8166 0.3668
0.2270 0.5000 0.0000
0.7730 0.5000 0.0000
0.0000 0.0000 0.0000
```


No. 18
Entry from Alexandria: a geometry-optimized SrLiRh2 structure (PBE).

Values from the calculation:
ρ, g cm⁻³: 5.8
Raw total energy, eV per cell: -18.92
Formation energy, eV/atom: -0.16

Cell and atoms, written as POSCAR:
```
SrLiRh2
1.0
-1.8520 3.4784 1.9310
-3.7493 1.6498 -1.5744
-4.5387 -1.4522 3.2140
Sr Rh Li
1 2 1
direct
0.4928 0.4928 0.5206
0.0180 0.0180 0.9460
0.6906 0.6906 0.9285
0.2987 0.2987 0.1049
```


No. 19
Entry from Alexandria: a geometry-optimized SrLi2Rh structure (PBE).

Values from the calculation:
ρ, g cm⁻³: 3.9
Raw total energy, eV per cell: -13.28
Formation energy, eV/atom: -0.10

Cell and atoms, written as POSCAR:
```
SrLi2Rh
1.0
4.4108 -0.0008 0.0068
2.2060 3.8196 0.0069
2.2034 1.2715 5.2315
Sr Rh Li
1 1 2
direct
0.2431 0.2431 0.2702
0.4465 0.4465 0.6608
0.0528 0.0528 0.8418
0.7576 0.7576 0.7272
```


No. 20
Entry from Alexandria: a geometry-optimized SrLi2Rh structure (PBE).

Values from the calculation:
ρ, g cm⁻³: 3.6
Raw total energy, eV per cell: -13.03
Formation energy, eV/atom: -0.04

Cell and atoms, written as POSCAR:
```
SrLi2Rh
1.0
4.1887 0.0000 0.0000
0.0000 3.6315 0.0627
0.0000 1.6633 6.1831
Li Rh Sr
2 1 1
direct
0.0000 0.9872 0.1452
0.5000 0.4433 0.2318
0.0000 0.3375 0.4540
0.5000 0.7320 0.6690
```